Tm2Mg3NpN6: optimized geometry, PBE-GGA.

a = 5.7721 Å, b = 10.0189 Å, c = 5.5428 Å
α = 90.00°, β = 110.29°, γ = 90.00°
With the nearest neighbours (Å) after each atom.
Space group C2/m (No. 12)
One atom of each set of equivalent atoms:
Tm  0.0000  0.1672  0.0000  6 N 2.34-2.35
Mg  0.0000  0.0000  0.5000  6 N 2.30-2.48
Mg  0.0000  0.3367  0.5000  6 N 2.29-2.46
Np  0.0000  0.5000  0.0000  6 N 2.16-2.21
N  0.2338  0.5000  0.7676  1 Np 2.16, 2 Mg 2.30, 2 Tm 2.34
N  0.2380  0.3428  0.2435  1 Np 2.21, 3 Mg 2.29-2.46, 2 Tm 2.35

Results
VASP energy: -182.908 eV per cell
Fermi-level density of states: 0.2 states/eV per cell
Total magnetization: 0.083 μB/atom
Formation energy from raw total energies: -1.236 eV/atom


MgCd7Hg12: optimized geometry, PBE-GGA.

a = 12.9677 Å, b = 12.9677 Å, c = 10.4108 Å
α = 90.00°, β = 90.00°, γ = 120.00°
With the nearest neighbours (Å) after each atom.
Space group R-3 (No. 148, hexagonal axes)
One atom of each set of equivalent atoms:
Mg  0.0000  0.0000  0.0000  6 Hg 3.10, 6 Cd 3.14
Cd  0.0000  0.0000  0.5000  6 Hg 3.18, 6 Cd 3.19
Cd  0.0067  0.8648  0.7530  5 Hg 2.95-3.20, 3 Cd 3.11-3.19, 1 Mg 3.14
Hg  0.0416  0.7858  0.4232  4 Cd 3.09-3.41, 4 Hg 3.15-3.45
Hg  0.0631  0.4851  0.6451  3 Cd 2.95-3.20, 1 Mg 3.10, 4 Hg 3.13-3.22

Results
VASP energy: -33.923 eV per cell
Energy of formation: 16 meV per atom
Fermi-level density of states: 20.5 states/eV per cell
Total magnetization: 0.000 μB/atom


Li2Mn2Cu: optimized geometry, PBE-GGA.

a = 7.1631 Å, b = 7.1631 Å, c = 2.4603 Å
α = 90.00°, β = 90.00°, γ = 90.00°
With the nearest neighbours (Å) after each atom.
Space group P4/mbm (No. 127)
One atom of each set of equivalent atoms:
Li  0.1957  0.3043  0.0000  6 Mn 2.44-2.53, 2 Li 2.46, 2 Cu 2.59
Mn  0.0957  0.5957  0.5000  1 Mn 1.94
Cu  0.0000  0.0000  0.0000  2 Cu 2.46, 4 Li 2.59

Results
VASP energy: -46.392 eV per cell
E above lowest polymorph: 62 kJ/mol of formula units
Energy of formation: 613 meV per atom
Fermi-level density of states: 9.3 states/eV per cell
Total magnetization: 0.150 μB/atom


Os2PbBr: optimized geometry, PBE-GGA.

a = 9.9722 Å, b = 2.9743 Å, c = 7.0548 Å
α = 90.00°, β = 111.56°, γ = 90.00°
With the nearest neighbours (Å) after each atom.
Space group Cm (No. 8)
One atom of each set of equivalent atoms:
Os  0.0000  0.0000  0.0000  2 Os 2.52, 2 Br 2.61
Os  0.2044  0.5000  0.9991  2 Os 2.52, 2 Br 2.62
Pb  0.4350  0.0000  0.3220  4 Os 2.97-2.98, 2 Pb 2.97
Br  0.2907  0.0000  0.7607  4 Os 2.61-2.62

Results
VASP energy: -48.286 eV per cell
E above lowest polymorph: 168 kJ/mol of formula units
Fermi-level density of states: 6.6 states/eV per cell
Total magnetization: 0.000 μB/atom
Formation energy from raw total energies: 0.924 eV/atom


KHgRh2: optimized geometry, PBE-GGA.

a = 2.8976 Å, b = 3.8408 Å, c = 7.9543 Å
α = 90.00°, β = 90.51°, γ = 90.00°
With the nearest neighbours (Å) after each atom.
Space group Pm (No. 6)
One atom of each set of equivalent atoms:
K  0.0000  0.0000  0.0000  2 K 2.90
Hg  0.5005  0.5000  0.6700  5 Rh 2.86-3.10, 2 Hg 2.90
Rh  0.4973  0.5000  0.3101  4 Rh 2.58, 1 Hg 2.86
Rh  0.9993  0.0000  0.4265  4 Rh 2.58

Results
VASP energy: -15.126 eV per cell
Energy of formation: 244 meV per atom
Fermi-level density of states: 4.4 states/eV per cell
Total magnetization: 0.000 μB/atom


K2RbZnGa: optimized geometry, PBE-GGA.

a = 6.8563 Å, b = 6.8563 Å, c = 4.8430 Å
α = 90.00°, β = 90.00°, γ = 90.00°
With the nearest neighbours (Å) after each atom.
Space group P4/mmm (No. 123)
One atom of each set of equivalent atoms:
K  0.0000  0.5000  0.0000  2 Ga 3.43
Rb  0.0000  0.0000  0.5000  8 K 4.20
Zn  0.5000  0.5000  0.5000  2 Ga 2.42
Ga  0.5000  0.5000  0.0000  2 Zn 2.42

Results
VASP energy: -6.914 eV per cell
E above lowest polymorph: 3 kJ/mol of formula units
Energy of formation: 110 meV per atom
Fermi-level density of states: 2.3 states/eV per cell
Total magnetization: 0.000 μB/atom


Copy entry 2 word for word.
MgCd7Hg12: optimized geometry, PBE-GGA.

a = 12.9677 Å, b = 12.9677 Å, c = 10.4108 Å
α = 90.00°, β = 90.00°, γ = 120.00°
With the nearest neighbours (Å) after each atom.
Space group R-3 (No. 148, hexagonal axes)
One atom of each set of equivalent atoms:
Mg  0.0000  0.0000  0.0000  6 Hg 3.10, 6 Cd 3.14
Cd  0.0000  0.0000  0.5000  6 Hg 3.18, 6 Cd 3.19
Cd  0.0067  0.8648  0.7530  5 Hg 2.95-3.20, 3 Cd 3.11-3.19, 1 Mg 3.14
Hg  0.0416  0.7858  0.4232  4 Cd 3.09-3.41, 4 Hg 3.15-3.45
Hg  0.0631  0.4851  0.6451  3 Cd 2.95-3.20, 1 Mg 3.10, 4 Hg 3.13-3.22

Results
VASP energy: -33.923 eV per cell
Energy of formation: 16 meV per atom
Fermi-level density of states: 20.5 states/eV per cell
Total magnetization: 0.000 μB/atom


What did the sixth record say?
K2RbZnGa: optimized geometry, PBE-GGA.

a = 6.8563 Å, b = 6.8563 Å, c = 4.8430 Å
α = 90.00°, β = 90.00°, γ = 90.00°
With the nearest neighbours (Å) after each atom.
Space group P4/mmm (No. 123)
One atom of each set of equivalent atoms:
K  0.0000  0.5000  0.0000  2 Ga 3.43
Rb  0.0000  0.0000  0.5000  8 K 4.20
Zn  0.5000  0.5000  0.5000  2 Ga 2.42
Ga  0.5000  0.5000  0.0000  2 Zn 2.42

Results
VASP energy: -6.914 eV per cell
E above lowest polymorph: 3 kJ/mol of formula units
Energy of formation: 110 meV per atom
Fermi-level density of states: 2.3 states/eV per cell
Total magnetization: 0.000 μB/atom


Copy entry 2 word for word.
MgCd7Hg12: optimized geometry, PBE-GGA.

a = 12.9677 Å, b = 12.9677 Å, c = 10.4108 Å
α = 90.00°, β = 90.00°, γ = 120.00°
With the nearest neighbours (Å) after each atom.
Space group R-3 (No. 148, hexagonal axes)
One atom of each set of equivalent atoms:
Mg  0.0000  0.0000  0.0000  6 Hg 3.10, 6 Cd 3.14
Cd  0.0000  0.0000  0.5000  6 Hg 3.18, 6 Cd 3.19
Cd  0.0067  0.8648  0.7530  5 Hg 2.95-3.20, 3 Cd 3.11-3.19, 1 Mg 3.14
Hg  0.0416  0.7858  0.4232  4 Cd 3.09-3.41, 4 Hg 3.15-3.45
Hg  0.0631  0.4851  0.6451  3 Cd 2.95-3.20, 1 Mg 3.10, 4 Hg 3.13-3.22

Results
VASP energy: -33.923 eV per cell
Energy of formation: 16 meV per atom
Fermi-level density of states: 20.5 states/eV per cell
Total magnetization: 0.000 μB/atom